Mn4Si7 after structural relaxation, computed with PBE.

It has space group Pcca (No. 54), with a = 5.499 Å, b = 5.499 Å, c = 17.350 Å, α = 90.00°, β = 90.00° and γ = 90.00°. The inequivalent atoms are Mn at (0.250, 0.000, 0.029), Mn at (0.250, 0.000, 0.282), Mn at (0.250, 0.500, 0.088), Mn at (0.250, 0.500, 0.348), Si at (0.000, 0.346, 0.250), Si at (0.062, 0.157, 0.398), Si at (0.088, 0.329, 0.966) and Si at (0.096, 0.213, 0.674).

The formation energy from raw total energies is -430 meV/atom. As for the crystal system: orthorhombic. The calculation puts the calculated total energy at -7.22 eV/atom.